[1]
First-principles (GGA-PBE) data for a relaxed structure of LaZnCrAg2, as listed in the Alexandria database.

The structure in extended XYZ format:
```
5
Lattice="5.054 0.000 0.000 0.000 5.294 0.000 0.000 0.000 5.054" Properties=species:S:1:pos:R:3 pbc="T T T"
Cr 0.000 0.000 0.000
Zn 2.527 2.647 2.527
Ag 0.000 0.000 2.527
Ag 2.527 0.000 0.000
La 0.000 2.647 0.000
```

Calculated values
volume: 135.2 Å³/cell
crystal system: tetragonal
density of states at the Fermi level: 3.4 states/eV/cell
formation enthalpy at 0 K: 0.670 eV/atom
size of the total moment: 3.6 μB/f.u.
SG: No. 123

***

[2]
First-principles (GGA-PBE) data for a relaxed structure of LiCr2Ag, as listed in the Alexandria database.

The structure in extended XYZ format:
```
4
Lattice="-1.728 0.279 4.833 -4.462 -1.960 1.634 4.185 -1.217 -2.725" Properties=species:S:1:pos:R:3 pbc="T T T"
Ag -0.319 -0.889 2.671
Cr 0.000 0.000 0.000
Cr -3.095 -0.840 3.233
Li -1.686 -2.009 1.071
```

Calculated values
volume: 51.7 Å³/cell
crystal system: tetragonal
density of states at the Fermi level: 3.7 states/eV/cell
formation enthalpy at 0 K: 0.477 eV/atom
E above lowest polymorph: 0.208 eV per atom
size of the total moment: 0.0 μB/f.u.
SG: No. 139

***

[3]
First-principles (GGA-PBE) data for a relaxed structure of LiCr2Ag, as listed in the Alexandria database.

The structure in extended XYZ format:
```
4
Lattice="-2.481 2.164 0.489 -0.738 -1.497 2.879 3.185 3.102 2.430" Properties=species:S:1:pos:R:3 pbc="T T T"
Ag 0.779 2.660 3.506
Cr 0.219 0.214 0.167
Cr 1.373 1.338 1.048
Li -0.813 1.109 2.291
```

Calculated values
volume: 56.1 Å³/cell
crystal system: tetragonal
density of states at the Fermi level: 2.5 states/eV/cell
formation enthalpy at 0 K: 0.658 eV/atom
E above lowest polymorph: 0.389 eV per atom
size of the total moment: 0.0 μB/f.u.
SG: No. 123

***

[4]
First-principles (GGA-PBE) data for a relaxed structure of LiCr2Ag, as listed in the Alexandria database.

The structure in extended XYZ format:
```
4
Lattice="-2.751 2.915 1.955 -2.597 -3.306 -3.288 -1.123 -1.516 1.728" Properties=species:S:1:pos:R:3 pbc="T T T"
Ag -2.674 -0.195 -0.666
Cr 0.000 0.000 0.000
Cr -1.937 0.700 1.842
Li -1.860 -2.411 -0.780
```

Calculated values
volume: 53.7 Å³/cell
crystal system: monoclinic
density of states at the Fermi level: 3.6 states/eV/cell
formation enthalpy at 0 K: 0.526 eV/atom
E above lowest polymorph: 0.257 eV per atom
size of the total moment: 0.0 μB/f.u.
SG: No. 12

***

[5]
First-principles (GGA-PBE) data for a relaxed structure of Li2CrAg, as listed in the Alexandria database.

The structure in extended XYZ format:
```
4
Lattice="2.631 0.035 0.000 -0.985 2.440 0.000 0.000 0.000 9.267" Properties=species:S:1:pos:R:3 pbc="T T T"
Ag 0.823 1.238 2.317
Cr 0.823 1.238 6.950
Li 0.000 0.000 9.227
Li 0.000 0.000 4.674
```

Calculated values
volume: 59.8 Å³/cell
crystal system: orthorhombic
density of states at the Fermi level: 2.7 states/eV/cell
formation enthalpy at 0 K: 0.319 eV/atom
E above lowest polymorph: 0.097 eV per atom
size of the total moment: 1.5 μB/f.u.
SG: No. 65

***

[6]
First-principles (GGA-PBE) data for a relaxed structure of Li2CrAg2, as listed in the Alexandria database.

The structure in extended XYZ format:
```
10
Lattice="7.527 0.000 0.000 0.000 7.527 0.000 0.000 0.000 2.717" Properties=species:S:1:pos:R:3 pbc="T T T"
Cr 0.000 0.000 0.000
Cr 3.764 3.764 0.000
Ag 2.701 6.465 0.000
Ag 6.465 4.826 0.000
Ag 4.826 1.062 0.000
Ag 1.062 2.701 0.000
Li 1.205 4.968 1.359
Li 4.968 6.322 1.359
Li 6.322 2.559 1.359
Li 2.559 1.205 1.359
```

Calculated values
volume: 154.0 Å³/cell
crystal system: tetragonal
density of states at the Fermi level: 8.2 states/eV/cell
formation enthalpy at 0 K: 0.459 eV/atom
size of the total moment: 0.1 μB/f.u.
SG: No. 127

***

[7]
First-principles (GGA-PBE) data for a relaxed structure of Li2CrAg, as listed in the Alexandria database.

The structure in extended XYZ format:
```
4
Lattice="-3.185 -3.643 0.166 2.610 -0.124 4.076 -1.982 1.793 1.324" Properties=species:S:1:pos:R:3 pbc="T T T"
Ag -2.584 -0.925 0.745
Cr 0.314 0.835 2.700
Li 0.000 0.000 0.000
Li -0.287 -1.884 2.121
```

Calculated values
volume: 66.6 Å³/cell
crystal system: orthorhombic
density of states at the Fermi level: 1.3 states/eV/cell
formation enthalpy at 0 K: 0.265 eV/atom
E above lowest polymorph: 0.043 eV per atom
size of the total moment: 4.5 μB/f.u.
SG: No. 65

***

[8]
First-principles (GGA-PBE) data for a relaxed structure of LiCr2Ag, as listed in the Alexandria database.

The structure in extended XYZ format:
```
4
Lattice="0.000 3.238 3.238 3.238 0.000 3.238 3.238 3.238 0.000" Properties=species:S:1:pos:R:3 pbc="T T T"
Cr 1.619 1.619 1.619
Cr 4.858 4.858 4.858
Ag 3.238 3.238 3.238
Li 0.000 0.000 0.000
```

Calculated values
volume: 67.9 Å³/cell
crystal system: cubic
density of states at the Fermi level: 2.4 states/eV/cell
formation enthalpy at 0 K: 0.635 eV/atom
E above lowest polymorph: 0.366 eV per atom
size of the total moment: 8.9 μB/f.u.
SG: No. 225

***

[9]
First-principles (GGA-PBE) data for a relaxed structure of LiCr2Ag, as listed in the Alexandria database.

The structure in extended XYZ format:
```
4
Lattice="2.687 0.004 0.000 -1.124 2.440 0.000 0.000 0.000 8.714" Properties=species:S:1:pos:R:3 pbc="T T T"
Ag 0.781 1.222 6.568
Cr 0.000 0.000 0.295
Cr 0.781 1.222 1.945
Li 0.000 0.000 4.262
```

Calculated values
volume: 57.2 Å³/cell
crystal system: orthorhombic
density of states at the Fermi level: 2.7 states/eV/cell
formation enthalpy at 0 K: 0.281 eV/atom
E above lowest polymorph: 0.012 eV per atom
size of the total moment: 0.0 μB/f.u.
SG: No. 35

***

[10]
First-principles (GGA-PBE) data for a relaxed structure of LiCr2Ag, as listed in the Alexandria database.

The structure in extended XYZ format:
```
4
Lattice="-2.307 -0.657 0.768 0.825 -0.117 2.377 -2.035 8.457 1.121" Properties=species:S:1:pos:R:3 pbc="T T T"
Ag -2.272 5.976 2.416
Cr -0.020 0.083 0.011
Cr -1.228 1.637 1.841
Li -1.014 4.215 0.559
```

Calculated values
volume: 55.6 Å³/cell
crystal system: tetragonal
density of states at the Fermi level: 4.7 states/eV/cell
formation enthalpy at 0 K: 0.504 eV/atom
E above lowest polymorph: 0.235 eV per atom
size of the total moment: 0.0 μB/f.u.
SG: No. 99

***

[11]
First-principles (GGA-PBE) data for a relaxed structure of LiCr2Ag, as listed in the Alexandria database.

The structure in extended XYZ format:
```
4
Lattice="4.763 -0.049 -0.113 3.843 2.814 -0.113 1.615 0.519 4.511" Properties=species:S:1:pos:R:3 pbc="T T T"
Ag 7.584 2.437 2.954
Cr 8.622 2.770 0.092
Cr 2.554 0.821 0.768
Li 5.177 1.664 2.387
```

Calculated values
volume: 61.9 Å³/cell
crystal system: monoclinic
density of states at the Fermi level: 1.9 states/eV/cell
formation enthalpy at 0 K: 0.378 eV/atom
E above lowest polymorph: 0.109 eV per atom
size of the total moment: 0.2 μB/f.u.
SG: No. 8

***

[12]
First-principles (GGA-PBE) data for a relaxed structure of Li2CrAg, as listed in the Alexandria database.

The structure in extended XYZ format:
```
4
Lattice="2.954 0.000 0.000 0.000 3.998 0.000 0.000 0.000 5.688" Properties=species:S:1:pos:R:3 pbc="T T T"
Ag 1.477 1.999 1.422
Cr 1.477 1.999 4.266
Li 0.000 0.000 0.052
Li 0.000 0.000 2.792
```

Calculated values
volume: 67.2 Å³/cell
crystal system: orthorhombic
density of states at the Fermi level: 1.7 states/eV/cell
formation enthalpy at 0 K: 0.263 eV/atom
E above lowest polymorph: 0.042 eV per atom
size of the total moment: 4.6 μB/f.u.
SG: No. 47

***

- Number 10 is which compound?
  LiCr2Ag